Density functional theory data (PBE) for HfTh2NbN5 after structural relaxation.

abc: 3.450 7.075 10.565
angles: 90.00 90.00 104.11
Atoms (fractional coordinates):
1 Hf 0.786 0.571 0.507
2 Hf 0.214 0.429 0.007
3 Th 0.856 0.711 0.793
4 Th 0.111 0.222 0.686
5 Th 0.144 0.289 0.293
6 Th 0.889 0.778 0.186
7 Nb 0.529 0.058 0.964
8 Nb 0.471 0.942 0.464
9 N 0.371 0.742 0.002
10 N 0.683 0.366 0.878
11 N 0.491 0.982 0.780
12 N 0.280 0.561 0.654
13 N 0.947 0.893 0.560
14 N 0.629 0.258 0.502
15 N 0.317 0.634 0.378
16 N 0.509 0.018 0.280
17 N 0.720 0.439 0.154
18 N 0.053 0.107 0.060

Values from the calculation:
- raw total energy (Ha/atom) = -0.366
- crystal system = orthorhombic
- energy relative to the elements, uncorrected (eV/atom) = -1.45
- V (Å³/cell) = 250.1